(1)
This record from Alexandria via LeMat-Bulk describes a PBEsol-optimized structure of CaMo2Os. The functional is meta-GGA SCAN.

```
4
Lattice="3.8250 0.0000 0.0000 0.0000 3.8250 0.0000 0.0000 0.0000 4.5836" Properties=species:S:1:pos:R:3 pbc="T T T"
Mo 0.0000 1.9125 0.0000
Mo 1.9125 0.0000 0.0000
Os 1.9125 1.9125 2.2918
Ca 0.0000 0.0000 2.2918
```

=====

(2)
This record from Alexandria via LeMat-Bulk describes a PBEsol-optimized structure of CaMoOs2. The functional is meta-GGA SCAN.

```
4
Lattice="-0.6870 -4.2611 1.1869 -0.8848 -3.0793 -3.1261 3.0514 -3.1204 -0.9949" Properties=species:S:1:pos:R:3 pbc="T T T"
Ca 0.0000 0.0000 0.0000
Mo 0.7398 -5.2304 -1.4671
Os 0.3699 -2.6152 -0.7335
Os 1.1096 -7.8456 -2.2006
```

=====

(3)
This record from Alexandria via LeMat-Bulk describes a PBEsol-optimized structure of CaMoOs2. The functional is meta-GGA SCAN.

```
4
Lattice="3.0488 0.0000 0.0000 0.0000 3.0488 0.0000 0.0000 0.0000 7.2972" Properties=species:S:1:pos:R:3 pbc="T T T"
Ca 1.5244 1.5244 0.0000
Mo 1.5244 1.5244 3.6486
Os 0.0000 0.0000 5.1527
Os 0.0000 0.0000 2.1445
```

=====

(4)
This record from Alexandria via LeMat-Bulk describes a PBEsol-optimized structure of CaMo2Os. The functional is meta-GGA SCAN.

```
4
Lattice="3.0939 0.0000 0.0000 0.0000 4.7688 0.0000 -1.5469 -2.3844 4.5278" Properties=species:S:1:pos:R:3 pbc="T T T"
Mo 0.0000 0.0000 0.2004
Mo 1.5469 0.0000 2.2275
Os 0.0000 0.0000 4.3582
Ca 0.0000 2.3844 2.2694
```

=====

(5)
This record from Alexandria via LeMat-Bulk describes a PBEsol-optimized structure of SrCaMo2Os. The functional is meta-GGA SCAN.

```
5
Lattice="-0.5913 1.2575 4.5928 2.9297 -3.5525 1.3499 4.2199 3.3391 -0.3710" Properties=species:S:1:pos:R:3 pbc="T T T"
Sr 3.2791 0.5221 2.7859
Mo 1.4648 -1.7762 0.6749
Mo -0.2956 0.6288 2.2964
Os 0.0000 0.0000 0.0000
Ca 2.1099 1.6695 -0.1855
```

=====

(6)
This record from Alexandria via LeMat-Bulk describes a PBEsol-optimized structure of CaMo2P. The functional is meta-GGA SCAN.

```
4
Lattice="3.7746 0.0000 0.0000 0.0000 3.7746 0.0000 -1.8873 -1.8873 4.6959" Properties=species:S:1:pos:R:3 pbc="T T T"
Ca 0.0000 0.0000 0.0000
Mo 1.8873 0.0000 2.3480
Mo 0.0000 1.8873 2.3480
P 1.8873 1.8873 0.0000
```

=====

Number 1: energy relative to the elements 348.2 kJ/mol of formula units. Number 2: energy relative to the elements 153.7 kJ/mol of formula units. Number 3: energy relative to the elements 100.0 kJ/mol of formula units. Number 4: energy relative to the elements 221.4 kJ/mol of formula units. Number 5: energy relative to the elements 434.6 kJ/mol of formula units. Number 6: energy relative to the elements 180.8 kJ/mol of formula units.